This record from Alexandria describes a geometry-optimized ScBiMoPt2 structure. The functional is PBE-GGA.

Properties
The space group is P4/mmm (123). The crystal system is tetragonal. The total moment is 0.637 μB per atom. Its uncorrected energy is -5.63 eV per atom. For the formation energy, the calculation gives 1.00 eV per atom.

```
ScBiMoPt2
1.0
4.8066 0.0000 0.0000
0.0000 4.8066 0.0000
0.0000 0.0000 5.3746
Sc Bi Mo Pt
1 1 1 2
Cartesian
0.0000 0.0000 0.0000
0.0000 0.0000 2.6873
2.4033 2.4033 2.6873
0.0000 2.4033 0.0000
2.4033 0.0000 0.0000
```